No. 1
10
Lattice="2.6915 -10.1080 0.0000 2.6915 10.1080 0.0000 0.0000 0.0000 5.3807" Properties=species:S:1:pos:R:3 comment="Pm3CdHg | Alexandria via LeMat-Bulk | PBE | optimized geometry" relative_energy_mev_per_atom=0 m_tot_mub_per_cell=1.728 density_g_cm3=8.49 pbc="T T T"
Pm 2.6915 8.8887 4.0355
Pm 2.6915 5.0597 4.0355
Pm 2.6915 1.2519 4.0355
Pm 2.6915 -1.2519 1.3452
Pm 2.6915 -5.0597 1.3452
Pm 2.6915 -8.8887 1.3452
Cd 2.6915 7.0176 1.3452
Cd 2.6915 -7.0176 4.0355
Hg 2.6915 3.0964 1.3452
Hg 2.6915 -3.0964 4.0355



No. 2
12
Lattice="-3.0081 3.0081 4.9935 3.0081 -3.0081 4.9935 3.0081 3.0081 -4.9935" Properties=species:S:1:pos:R:3 comment="KCdAg2F8 | Alexandria via LeMat-Bulk | PBE | optimized geometry" m_tot_mub_per_cell=0.992 formation_energy_uncorrected_ev_per_atom=-1.6247 density_g_cm3=4.77 pbc="T T T"
K 0.0000 0.0000 0.0000
Cd 3.0081 0.0000 2.4967
Ag 0.0000 0.0000 4.9935
Ag 0.0000 3.0081 2.4967
F 4.0835 1.8671 -2.6644
F 2.5842 1.0970 0.1072
F 1.9111 -0.4239 4.8863
F -1.0754 1.1410 2.3291
F 1.0970 3.4320 -0.1072
F 1.8671 1.9327 2.6644
F 0.4239 1.9111 5.1006
F 1.1410 1.0754 7.6578



No. 3
12
Lattice="-2.0883 3.4320 6.2662 2.0883 -3.4320 6.2662 2.0883 3.4320 -6.2662" Properties=species:S:1:pos:R:3 comment="Ti6CuRh5 | Alexandria via LeMat-Bulk | PBE | optimized geometry" m_tot_mub_per_cell=0.000 e_tot_ev_per_cell=-95.834 density_g_cm3=8.00 pbc="T T T"
Ti 2.0883 1.7082 -2.0901
Ti 0.0000 1.7004 0.0000
Ti 2.0883 1.7082 2.0901
Ti 0.0000 1.7239 4.1761
Ti 0.0000 5.1637 0.0000
Ti 0.0000 1.7239 8.3563
Cu 0.0000 0.0000 6.2662
Rh 2.0883 0.0000 0.0000
Rh 0.0000 0.0000 2.1367
Rh 2.0883 0.0000 4.2599
Rh 0.0000 3.4320 2.0063
Rh 0.0000 0.0000 10.3957



No. 4
8
Lattice="-3.4607 3.4607 2.1148 3.4607 -3.4607 2.1148 3.4607 3.4607 -2.1148" Properties=species:S:1:pos:R:3 comment="CrTc2C | Alexandria via LeMat-Bulk | PBE | optimized geometry" m_tot_mub_per_cell=3.106 e_tot_ev_per_cell=-76.628 density_g_cm3=8.52 pbc="T T T"
Cr 0.0000 0.0000 0.0000
Cr 0.0000 3.4607 1.0574
Tc 1.7303 -0.9818 1.5861
Tc 2.4789 1.7303 0.5287
Tc 1.7303 4.4425 -0.5287
Tc 0.9818 1.7303 2.6436
C 3.4607 0.0000 1.0574
C 0.0000 0.0000 2.1148



No. 5
4
Lattice="3.3285 0.0000 0.0000 0.0000 3.3285 0.0000 0.0000 0.0000 5.8198" Properties=species:S:1:pos:R:3 comment="ScRu2Pt | Alexandria via LeMat-Bulk | PBE | optimized geometry" m_tot_mub_per_cell=0.882 e_tot_ev_per_cell=-31.893 density_g_cm3=11.39 pbc="T T T"
Sc 0.0000 0.0000 0.0000
Ru 0.0000 0.0000 3.0033
Ru 1.6642 1.6642 4.1355
Pt 1.6642 1.6642 1.4043



No. 6
4
Lattice="1.4292 0.8251 7.0951 -1.4292 0.8251 7.0951 0.0000 -1.6503 7.0951" Properties=species:S:1:pos:R:3 comment="BeSiRh2 | Alexandria via LeMat-Bulk | PBE | optimized geometry" relative_energy_mev_per_atom=362 m_tot_mub_per_cell=0.000 formation_energy_uncorrected_ev_per_atom=-0.4589 density_g_cm3=8.03 pbc="T T T"
Be 0.0000 0.0000 0.0000
Si 0.0000 0.0000 10.6427
Rh 0.0000 0.0000 5.3877
Rh 0.0000 0.0000 15.8978



No. 7
16
Lattice="4.5099 2.6038 7.5746 -4.5099 2.6038 7.5746 0.0000 -5.2076 7.5746" Properties=species:S:1:pos:R:3 comment="Sr4NdY3Te8 | Alexandria via LeMat-Bulk | PBE | optimized geometry" m_tot_mub_per_cell=0.000 formation_energy_uncorrected_ev_per_atom=-1.5186 density_g_cm3=5.55 pbc="T T T"
Sr 0.0000 0.0000 0.0000
Sr -2.2550 -1.3019 7.5746
Sr -2.2550 1.3019 15.1492
Sr 0.0000 2.6038 7.5746
Nd 0.0000 0.0000 11.3619
Y -4.5099 0.0000 11.3619
Y -2.2550 1.3019 3.7873
Y 2.2550 1.3019 3.7873
Te -2.2916 -1.3231 13.1405
Te 0.0000 0.0000 5.5376
Te 0.0000 -2.6461 9.5833
Te -2.2916 1.3231 9.5833
Te 2.2916 -1.3230 13.1405
Te 0.0000 2.6461 13.1405
Te 0.0000 0.0000 17.1861
Te 2.2916 1.3231 9.5833



No. 8
12
Lattice="4.5344 -4.3331 0.0000 4.5344 4.3331 0.0000 -0.9555 0.0000 5.0736" Properties=species:S:1:pos:R:3 comment="LiZn5Ga6 | Alexandria via LeMat-Bulk | PBE | optimized geometry" relative_energy_mev_per_atom=0 m_tot_mub_per_cell=0.000 density_g_cm3=6.27 pbc="T T T"
Li 0.0000 0.0000 0.0000
Zn 4.0567 2.9025 2.5368
Zn 4.5344 1.4718 0.0000
Zn 4.0567 0.0000 2.5368
Zn 4.5344 -1.4718 0.0000
Zn 4.0567 -2.9025 2.5368
Ga 2.0247 1.4399 1.2648
Ga 1.5319 0.0000 3.8313
Ga 2.0247 -1.4399 1.2648
Ga 6.0886 1.4399 3.8087
Ga 6.5815 0.0000 1.2423
Ga 6.0886 -1.4399 3.8087



No. 9
5
Lattice="5.6873 0.0000 0.0000 0.0000 5.6873 0.0000 0.0000 0.0000 6.1818" Properties=species:S:1:pos:R:3 comment="LaZnSi2I | Alexandria via LeMat-Bulk | PBE | optimized geometry" m_tot_mub_per_cell=1.388 formation_energy_uncorrected_ev_per_atom=1.0248 density_g_cm3=3.22 pbc="T T T"
La 0.0000 0.0000 0.0000
Zn 0.0000 0.0000 3.0909
Si 0.0000 2.8436 0.0000
Si 2.8436 0.0000 0.0000
I 2.8436 2.8436 3.0909



No. 10
6
Lattice="-2.1943 3.1270 6.6157 2.1943 -3.1270 6.6157 2.1943 3.1270 -6.6157" Properties=species:S:1:pos:R:3 comment="La3TeSe2 | Alexandria via LeMat-Bulk | PBE | optimized geometry" m_tot_mub_per_cell=0.000 formation_energy_uncorrected_ev_per_atom=-1.8424 density_g_cm3=6.42 pbc="T T T"
La 0.0000 0.0000 0.0000
La 0.0000 0.0000 4.2556
La 0.0000 0.0000 8.9757
Te 0.0000 3.1270 0.0000
Se 2.1943 0.0000 2.1520
Se 0.0000 3.1270 4.4637



No. 11
12
Lattice="2.5314 1.4615 8.2573 -2.5314 1.4615 8.2573 0.0000 -2.9230 8.2573" Properties=species:S:1:pos:R:3 comment="CeHo3Ni8 | Alexandria via LeMat-Bulk | PBE | optimized geometry" m_tot_mub_per_cell=0.070 e_tot_ev_per_cell=-71.191 density_g_cm3=10.01 pbc="T T T"
Ce 0.0000 0.0000 0.0000
Ho 0.0000 0.0000 3.1268
Ho 0.0000 0.0000 12.4203
Ho 0.0000 0.0000 15.5077
Ni 0.0000 -1.4550 5.6956
Ni -1.2601 0.7275 5.6956
Ni -1.2649 -0.7303 9.8415
Ni 0.0000 0.0000 7.7699
Ni 1.2601 0.7275 5.6956
Ni 1.2649 -0.7303 9.8415
Ni 0.0000 1.4606 9.8415
Ni 0.0000 0.0000 20.1533



No. 12
5
Lattice="-2.1830 2.1830 4.7614 2.1830 -2.1830 4.7614 2.1830 2.1830 -4.7614" Properties=species:S:1:pos:R:3 comment="TlSi2Pd2 | Alexandria via LeMat-Bulk | PBE | optimized geometry" relative_energy_mev_per_atom=0 m_tot_mub_per_cell=0.000 formation_energy_uncorrected_ev_per_atom=-0.2684 density_g_cm3=8.66 pbc="T T T"
Tl 0.0000 0.0000 0.0000
Si 0.0000 0.0000 3.5643
Si 0.0000 0.0000 5.9584
Pd 2.1830 0.0000 2.3807
Pd 0.0000 2.1830 2.3807